# 1
Material: Nd12Pt3O5
Method: DFT, PBE-GGA
State: optimized geometry

Properties
raw total energy	-6.6481	eV/atom
crystal system	cubic
raw formation energy	-1.64	eV/atom

extended XYZ file:
```
80
Lattice="13.675 0.000 0.000 -4.558 12.893 0.000 -4.558 -6.447 11.166" Properties=species:S:1:pos:R:3 pbc="T T T"
Pt 1.140 -0.806 4.187
Nd -0.714 8.248 0.999
O -4.558 3.223 5.583
Nd 4.466 2.336 6.643
O 3.419 2.417 1.396
O -3.419 7.252 4.187
Nd -2.372 2.749 6.882
Pt 7.977 8.864 1.396
Nd 6.124 6.411 2.059
Nd 2.835 1.759 3.524
Nd 1.566 1.801 10.167
Nd 2.186 8.782 4.522
Pt -3.419 -2.417 9.770
Pt 5.698 0.806 4.187
O 1.140 4.029 9.770
Nd -1.103 4.543 9.867
O 4.558 6.447 0.000
O 6.838 0.000 0.000
Nd 7.940 -4.543 9.867
Nd 0.556 8.206 7.642
Nd 7.393 -1.051 2.298
O 5.698 3.223 8.374
Nd 3.456 5.300 4.584
Nd -1.566 0.036 9.106
Nd 0.093 4.111 4.522
Nd 2.993 4.645 0.999
Nd 9.024 1.362 0.238
Nd -1.103 -3.397 7.881
Pt 1.140 6.447 2.791
Nd 9.830 6.482 2.059
Pt 3.419 0.000 8.374
O 2.279 3.223 5.583
Nd 2.993 8.212 1.061
O 4.558 -3.223 5.583
O 1.140 -3.223 8.374
Pt 7.977 4.029 1.396
Pt 10.256 0.000 2.791
O -1.140 0.806 6.979
O -1.140 3.223 2.791
Nd 1.724 4.687 7.642
Nd -4.466 5.084 10.927
Nd -3.382 10.990 1.299
O 5.698 -4.029 9.770
Nd -4.651 9.195 4.284
Nd 5.735 -1.147 6.582
O 7.977 -0.806 6.979
Pt -1.140 5.641 6.979
Nd 6.282 7.154 5.821
O 5.698 5.641 4.187
Pt -3.419 2.417 9.770
Nd -1.724 -0.708 5.344
Nd 1.566 -1.766 10.105
Nd -4.003 5.739 5.821
Nd 5.272 -1.801 10.167
Nd -0.556 1.051 2.298
Nd 6.930 11.531 0.238
Nd 5.114 5.395 8.868
Nd -0.714 4.681 1.061
Nd -5.272 -0.036 9.106
O -2.279 6.447 0.000
Nd 5.661 1.903 1.299
Pt 3.419 7.252 6.979
Nd 9.209 -2.749 6.882
Nd 8.561 0.708 5.344
O 3.419 9.670 2.791
Nd 5.661 9.843 3.285
O 0.000 0.000 0.000
Nd -1.176 7.593 4.584
Nd -5.735 3.397 7.881
O -1.140 10.476 1.396
Nd 5.272 1.766 10.105
Pt -5.698 6.447 8.374
O -2.279 -3.223 5.583
Nd 10.293 3.050 3.285
Nd 4.003 -1.759 3.524
Nd 6.930 3.698 4.284
Nd -2.835 7.498 8.868
Nd -2.372 -5.084 10.927
Nd 1.103 1.147 6.582
Nd 2.372 -2.336 6.643
```



# 2
Material: Nd3PtO
Method: DFT, PBE-GGA
State: optimized geometry

Properties
raw total energy	-6.5216	eV/atom
crystal system	monoclinic
raw formation energy	-1.46	eV/atom

extended XYZ file:
```
10
Lattice="-3.307 0.341 -1.937 2.542 -4.940 -5.207 -2.342 -7.685 2.647" Properties=species:S:1:pos:R:3 pbc="T T T"
Nd -1.840 -6.710 -4.639
Nd -3.657 -7.666 -1.703
O -2.456 -6.571 0.262
Nd -2.021 -10.076 -4.918
Pt -2.939 -2.558 -2.031
Pt -1.185 -9.042 -2.342
Nd -1.496 -3.347 -4.630
Nd -1.243 -0.524 -0.746
Nd -1.327 -4.934 -1.378
O -0.015 -5.199 -3.666
```



# 3
Material: Nd2PtO6
Method: DFT, PBE-GGA
State: optimized geometry

Properties
raw total energy	-6.8625	eV/atom
crystal system	orthorhombic
raw formation energy	-1.83	eV/atom

extended XYZ file:
```
9
Lattice="-0.462 -2.741 -2.538 1.786 -3.718 3.689 -5.973 2.461 1.221" Properties=species:S:1:pos:R:3 pbc="T T T"
Pt 0.000 0.000 0.000
O -1.155 -1.081 1.378
O -0.190 -3.089 3.371
O 1.185 -4.319 1.656
Nd -3.518 -0.510 1.190
Nd -1.131 -3.489 1.182
O -4.459 -0.909 -0.999
O -3.495 -2.917 0.994
O 0.139 -2.140 -0.505
```



# 4
Material: Nd6Pt2O
Method: DFT, PBE-GGA
State: optimized geometry

Properties
raw total energy	-6.2208	eV/atom
crystal system	monoclinic
raw formation energy	-1.15	eV/atom

extended XYZ file:
```
18
Lattice="-5.062 -3.744 -2.068 3.221 -5.900 2.796 -4.808 1.491 8.684" Properties=species:S:1:pos:R:3 pbc="T T T"
Nd -2.257 -6.945 0.726
Nd -4.391 -1.208 8.686
Nd -2.554 -1.654 5.395
Nd -1.813 -0.281 2.059
O -0.920 -4.822 0.364
Pt -1.947 -2.698 8.092
Pt -1.166 -6.981 3.505
Nd -3.090 -3.522 -0.337
Pt -4.701 -5.455 1.320
Pt -5.483 -1.173 5.907
Nd -3.558 -4.631 9.749
Nd -1.641 -5.223 6.526
O -2.404 0.745 4.342
Nd -1.320 -4.146 2.813
Nd -5.328 -4.007 6.599
Nd -5.007 -2.931 2.886
Nd -4.835 -7.873 7.353
Nd -4.095 -6.499 4.017
```